Ta3TiTc2 (PBE, relaxed); M_tot = 0.00 Bohr magnetons per cell; symmetry = P4/mmm, No. 123; E = -66.2 eV per cell; ΔE_f = -2.0 eV per formula unit; DOS at the Fermi energy = 0.797 states/eV per atom
1.0
3.183 0.000 0.000
0.000 3.183 0.000
0.000 0.000 9.829
Ta Ti Tc
3 1 2
Cartesian
0.000 0.000 0.000
0.000 0.000 3.162
0.000 0.000 6.667
1.592 1.592 4.915
1.592 1.592 1.601
1.592 1.592 8.229


Ta2TiTc (PBE, relaxed); M_tot = 0.00 Bohr magnetons per cell; polymorph energy (0 for the lowest one) = 0.000 eV per formula unit; symmetry = Immm, No. 71; E = -43.0 eV per cell; ΔE_f = -1.0 eV per formula unit; DOS at the Fermi energy = 0.923 states/eV per atom
1.0
-1.606 2.270 4.602
1.606 -2.270 4.602
1.606 2.270 -4.602
Ta Ti Tc
2 1 1
Cartesian
0.000 0.000 2.187
0.000 0.000 7.016
0.000 2.270 0.000
1.606 0.000 0.000


TaTiTc (PBE, relaxed); M_tot = 0.00 Bohr magnetons per cell; polymorph energy (0 for the lowest one) = 0.000 eV per formula unit; symmetry = I4mm, No. 107; E = -31.2 eV per cell; ΔE_f = -1.1 eV per formula unit; DOS at the Fermi energy = 1.081 states/eV per atom
1.0
-1.581 1.581 4.858
1.581 -1.581 4.858
1.581 1.581 -4.858
Ta Ti Tc
1 1 1
Cartesian
0.000 0.000 0.000
0.000 0.000 3.059
0.000 0.000 6.386


TaTiTc (PBE, relaxed); M_tot = 0.00 Bohr magnetons per cell; polymorph energy (0 for the lowest one) = 1.705 eV per formula unit; symmetry = Imm2, No. 44; E = -29.5 eV per cell; ΔE_f = 0.6 eV per formula unit; DOS at the Fermi energy = 1.419 states/eV per atom
1.0
-2.155 2.169 3.062
2.155 -2.169 3.062
2.155 2.169 -3.062
Ta Ti Tc
1 1 1
Cartesian
0.000 0.000 0.000
0.000 0.000 3.066
0.000 2.169 1.531


TaTi5Tc6 (PBE, relaxed); M_tot = 0.00 Bohr magnetons per cell; symmetry = Immm, No. 71; E = -119.6 eV per cell; ΔE_f = -6.1 eV per formula unit; DOS at the Fermi energy = 0.767 states/eV per atom
1.0
-2.208 3.118 6.620
2.208 -3.118 6.620
2.208 3.118 -6.620
Ta Ti Tc
1 5 6
Cartesian
0.000 0.000 0.000
2.208 0.000 2.224
0.000 0.000 4.413
0.000 3.118 0.000
0.000 0.000 8.827
0.000 3.118 4.396
2.208 -1.555 4.405
2.208 1.570 0.000
0.000 1.564 2.215
2.208 1.555 4.405
0.000 1.548 6.620
0.000 4.673 2.215


Ta2TiTc4 (PBE, relaxed); M_tot = 0.00 Bohr magnetons per cell; symmetry = I4/mmm, No. 139; E = -72.2 eV per cell; ΔE_f = 0.9 eV per formula unit; DOS at the Fermi energy = 1.413 states/eV per atom
1.0
-3.097 3.097 3.114
3.097 -3.097 3.114
3.097 3.097 -3.114
Ta Ti Tc
2 1 4
Cartesian
3.097 0.000 0.000
0.000 3.097 0.000
0.000 0.000 0.000
1.549 1.549 -1.557
1.549 -1.549 1.557
-1.549 1.549 1.557
1.549 1.549 1.557


Ta2TiTc (PBE, relaxed); M_tot = 0.00 Bohr magnetons per cell; polymorph energy (0 for the lowest one) = 2.798 eV per formula unit; symmetry = I-42d, No. 122; E = -80.4 eV per cell; ΔE_f = 1.7 eV per formula unit; DOS at the Fermi energy = 0.604 states/eV per atom
1.0
-3.638 3.638 2.757
3.638 -3.638 2.757
3.638 3.638 -2.757
Ta Ti Tc
4 2 2
Cartesian
5.457 1.630 -0.689
1.630 1.819 0.689
-1.819 2.007 2.068
2.007 1.819 3.446
3.638 0.000 1.378
0.000 0.000 2.757
0.000 0.000 0.000
0.000 3.638 1.378


TaTi2Tc (PBE, relaxed); M_tot = 0.00 Bohr magnetons per cell; polymorph energy (0 for the lowest one) = 0.000 eV per formula unit; symmetry = Imm2, No. 44; E = -39.1 eV per cell; ΔE_f = -1.1 eV per formula unit; DOS at the Fermi energy = 1.126 states/eV per atom
1.0
-1.587 2.280 4.539
1.587 -2.280 4.539
1.587 2.280 -4.539
Ta Ti Tc
1 2 1
Cartesian
0.000 0.000 0.000
0.000 0.000 4.207
0.000 2.280 2.127
1.587 0.000 2.112